[1]
Here is a relaxed structure of Si2IrCl from Alexandria via LeMat-Bulk. Energies are from PBE-GGA.

The structure belongs to space group R3m (No. 160, hexagonal axes); the cell edges are 3.7395, 3.7395 and 19.6909 Å and the angles 90.00°, 90.00° and 120.00°. The distinct sites, in fractional coordinates, are Si at (0.0000, 0.0000, 0.0000), Si at (0.0000, 0.0000, 0.2766), Ir at (0.0000, 0.0000, 0.5584) and Cl at (0.0000, 0.0000, 0.8103).

For the density of states at the Fermi level, the calculation gives 0.15 states/eV/atom. The uncorrected formation energy comes out at 0.12 eV per atom. The energy relative to the lowest polymorph listed for this composition comes out at 484.5 meV/atom. Its total magnetic moment is 0.00 μB/cell.



[2]
Here is a relaxed structure of SiIrCl2 from Alexandria via LeMat-Bulk. Energies are from PBE-GGA.

The structure belongs to space group P4/mmm (No. 123); the cell edges are 4.509, 4.509 and 3.310 Å and the angles 90.00°, 90.00° and 90.00°. The distinct sites, in fractional coordinates, are Si at (0.000, 0.000, 0.000), Ir at (0.500, 0.500, 0.000) and Cl at (0.000, 0.500, 0.500).

For the density of states at the Fermi level, the calculation gives 0.76 states/eV/atom. The uncorrected formation energy comes out at 0.92 eV per atom. The energy relative to the lowest polymorph listed for this composition comes out at 1314.5 meV/atom. Its total magnetic moment is 0.00 μB/cell.



[3]
Here is a relaxed structure of SiIrCl from Alexandria via LeMat-Bulk. Energies are from PBE-GGA.

The structure belongs to space group I4mm (No. 107); the cell edges are 2.986, 2.986 and 11.468 Å and the angles 90.00°, 90.00° and 90.00°. The distinct sites, in fractional coordinates, are Si at (0.000, 0.000, 0.000), Ir at (0.000, 0.000, 0.604) and Cl at (0.000, 0.000, 0.326).

For the density of states at the Fermi level, the calculation gives 0.14 states/eV/atom. The uncorrected formation energy comes out at 0.17 eV per atom. The energy relative to the lowest polymorph listed for this composition comes out at 955.8 meV/atom. Its total magnetic moment is 0.00 μB/cell.



[4]
Here is a relaxed structure of SiIrCl2 from Alexandria via LeMat-Bulk. Energies are from PBE-GGA.

The structure belongs to space group P4mm (No. 99); the cell edges are 3.035, 3.035 and 9.156 Å and the angles 90.00°, 90.00° and 90.00°. The distinct sites, in fractional coordinates, are Si at (0.000, 0.000, 0.000), Ir at (0.500, 0.500, 0.129), Cl at (0.000, 0.000, 0.778) and Cl at (0.500, 0.500, 0.387).

For the density of states at the Fermi level, the calculation gives 0.99 states/eV/atom. The uncorrected formation energy comes out at -0.40 eV per atom. The energy relative to the lowest polymorph listed for this composition comes out at 0.0 meV/atom. Its total magnetic moment is 0.00 μB/cell.



[5]
Here is a relaxed structure of Si2IrCl from Alexandria via LeMat-Bulk. Energies are from PBE-GGA.

The structure belongs to space group Pm (No. 6); the cell edges are 4.572, 3.644 and 4.616 Å and the angles 90.00°, 114.91° and 90.00°. The distinct sites, in fractional coordinates, are Si at (0.000, 0.000, 0.000), Si at (0.200, 0.500, 0.713), Ir at (0.781, 0.500, 0.158) and Cl at (0.535, 0.000, 0.376).

For the density of states at the Fermi level, the calculation gives 0.34 states/eV/atom. The uncorrected formation energy comes out at -0.03 eV per atom. The energy relative to the lowest polymorph listed for this composition comes out at 335.0 meV/atom. Its total magnetic moment is 0.00 μB/cell.



[6]
Here is a relaxed structure of SiIrCl2 from Alexandria via LeMat-Bulk. Energies are from PBE-GGA.

The structure belongs to space group R-3m (No. 166, hexagonal axes); the cell edges are 3.1588, 3.1588 and 25.5141 Å and the angles 90.00°, 90.00° and 120.00°. The distinct sites, in fractional coordinates, are Si at (0.0000, 0.0000, 0.0000), Ir at (0.0000, 0.0000, 0.5000) and Cl at (0.0000, 0.0000, 0.2374).

For the density of states at the Fermi level, the calculation gives 0.62 states/eV/atom. The uncorrected formation energy comes out at 0.76 eV per atom. The energy relative to the lowest polymorph listed for this composition comes out at 1161.0 meV/atom. Its total magnetic moment is 3.82 μB/cell.



[7]
Here is a relaxed structure of Si2IrCl from Alexandria via LeMat-Bulk. Energies are from PBE-GGA.

The structure belongs to space group Pmmm (No. 47); the cell edges are 2.847, 3.281 and 7.031 Å and the angles 90.00°, 90.00° and 90.00°. The distinct sites, in fractional coordinates, are Si at (0.000, 0.000, 0.202), Ir at (0.500, 0.500, 0.000) and Cl at (0.000, 0.500, 0.500).

For the density of states at the Fermi level, the calculation gives 0.43 states/eV/atom. The uncorrected formation energy comes out at -0.04 eV per atom. The energy relative to the lowest polymorph listed for this composition comes out at 324.1 meV/atom. Its total magnetic moment is 0.00 μB/cell.



[8]
Here is a relaxed structure of Si2IrCl from Alexandria via LeMat-Bulk. Energies are from PBE-GGA.

The structure belongs to space group I4/mmm (No. 139); the cell edges are 4.183, 4.183 and 7.056 Å and the angles 90.00°, 90.00° and 90.00°. The distinct sites, in fractional coordinates, are Si at (0.000, 0.500, 0.250), Ir at (0.000, 0.000, 0.000) and Cl at (0.000, 0.000, 0.500).

For the density of states at the Fermi level, the calculation gives 1.05 states/eV/atom. The uncorrected formation energy comes out at 0.53 eV per atom. The energy relative to the lowest polymorph listed for this composition comes out at 892.6 meV/atom. Its total magnetic moment is 0.00 μB/cell.



[9]
Here is a relaxed structure of SiIrCl from Alexandria via LeMat-Bulk. Energies are from PBE-GGA.

The structure belongs to space group P-1 (No. 2); the cell edges are 3.284, 4.440 and 9.446 Å and the angles 79.25°, 85.66° and 68.35°. The distinct sites, in fractional coordinates, are Si at (0.082, 0.392, 0.376), Ir at (0.378, 0.787, 0.408) and Cl at (0.231, 0.181, 0.174).

For the density of states at the Fermi level, the calculation gives 0.14 states/eV/atom. The uncorrected formation energy comes out at -0.47 eV per atom. The energy relative to the lowest polymorph listed for this composition comes out at 307.6 meV/atom. Its total magnetic moment is 0.00 μB/cell.



[10]
Here is a relaxed structure of Si2IrCl from Alexandria via LeMat-Bulk. Energies are from PBE-GGA.

The structure belongs to space group C2/m (No. 12); the cell edges are 6.493, 3.739 and 7.128 Å and the angles 90.00°, 107.64° and 90.00°. The distinct sites, in fractional coordinates, are Si at (0.115, 0.000, 0.343), Ir at (0.000, 0.500, 0.500) and Cl at (0.000, 0.000, 0.000).

For the density of states at the Fermi level, the calculation gives 0.46 states/eV/atom. The uncorrected formation energy comes out at -0.36 eV per atom. The energy relative to the lowest polymorph listed for this composition comes out at 0.0 meV/atom. Its total magnetic moment is 0.00 μB/cell.



[11]
Here is a relaxed structure of SiIrCl2 from Alexandria via LeMat-Bulk. Energies are from PBE-GGA.

The structure belongs to space group Cm (No. 8); the cell edges are 6.833, 3.947 and 8.285 Å and the angles 90.00°, 104.84° and 90.00°. The distinct sites, in fractional coordinates, are Si at (0.000, 0.000, 0.000), Ir at (0.354, 0.000, 0.065), Cl at (0.407, 0.500, 0.737) and Cl at (0.436, 0.000, 0.342).

For the density of states at the Fermi level, the calculation gives 0.47 states/eV/atom. The uncorrected formation energy comes out at -0.31 eV per atom. The energy relative to the lowest polymorph listed for this composition comes out at 86.9 meV/atom. Its total magnetic moment is 0.00 μB/cell.



[12]
Here is a relaxed structure of SiIrCl2 from Alexandria via LeMat-Bulk. Energies are from PBE-GGA.

The structure belongs to space group R-3m (No. 166, hexagonal axes); the cell edges are 2.9909, 2.9909 and 26.7705 Å and the angles 90.00°, 90.00° and 120.00°. The distinct sites, in fractional coordinates, are Si at (0.0000, 0.0000, 0.0000), Ir at (0.0000, 0.0000, 0.5000) and Cl at (0.0000, 0.0000, 0.4148).

For the density of states at the Fermi level, the calculation gives 1.04 states/eV/atom. The uncorrected formation energy comes out at 0.39 eV per atom. The energy relative to the lowest polymorph listed for this composition comes out at 793.8 meV/atom. Its total magnetic moment is 0.00 μB/cell.



[13]
Here is a relaxed structure of SiIrCl3 from Alexandria via LeMat-Bulk. Energies are from PBE-GGA.

The structure belongs to space group Pm-3m (No. 221); the cell edges are 4.855, 4.855 and 4.855 Å and the angles 90.00°, 90.00° and 90.00°. The distinct sites, in fractional coordinates, are Si at (0.000, 0.000, 0.000), Ir at (0.500, 0.500, 0.500) and Cl at (0.000, 0.000, 0.500).

For the density of states at the Fermi level, the calculation gives 1.43 states/eV/atom. The uncorrected formation energy comes out at 0.81 eV per atom. The energy relative to the lowest polymorph listed for this composition comes out at 336.4 meV/atom. Its total magnetic moment is 2.41 μB/cell.



[14]
Here is a relaxed structure of SiIrCl2 from Alexandria via LeMat-Bulk. Energies are from PBE-GGA.

The structure belongs to space group Cmmm (No. 65); the cell edges are 2.957, 5.612 and 8.751 Å and the angles 90.00°, 90.00° and 90.00°. The distinct sites, in fractional coordinates, are Si at (0.000, 0.000, 0.000), Ir at (0.000, 0.000, 0.500) and Cl at (0.000, 0.500, 0.281).

For the density of states at the Fermi level, the calculation gives 0.73 states/eV/atom. The uncorrected formation energy comes out at 0.60 eV per atom. The energy relative to the lowest polymorph listed for this composition comes out at 997.6 meV/atom. Its total magnetic moment is 0.00 μB/cell.



[15]
Here is a relaxed structure of Si2IrCl from Alexandria via LeMat-Bulk. Energies are from PBE-GGA.

The structure belongs to space group R-3m (No. 166, hexagonal axes); the cell edges are 3.6003, 3.6003 and 20.0145 Å and the angles 90.00°, 90.00° and 120.00°. The distinct sites, in fractional coordinates, are Si at (0.0000, 0.0000, 0.2282), Ir at (0.0000, 0.0000, 0.5000) and Cl at (0.0000, 0.0000, 0.0000).

For the density of states at the Fermi level, the calculation gives 0.50 states/eV/atom. The uncorrected formation energy comes out at -0.11 eV per atom. The energy relative to the lowest polymorph listed for this composition comes out at 246.6 meV/atom. Its total magnetic moment is 0.00 μB/cell.



[16]
Here is a relaxed structure of SiIrCl from Alexandria via LeMat-Bulk. Energies are from PBE-GGA.

The structure belongs to space group Cm (No. 8); the cell edges are 8.384, 3.213 and 9.390 Å and the angles 90.00°, 90.58° and 90.00°. The distinct sites, in fractional coordinates, are Si at (0.000, 0.000, 0.000), Si at (0.234, 0.500, 0.731), Ir at (0.197, 0.500, 0.977), Ir at (0.431, 0.000, 0.792), Cl at (0.093, 0.500, 0.542) and Cl at (0.363, 0.500, 0.200).

For the density of states at the Fermi level, the calculation gives 0.23 states/eV/atom. The uncorrected formation energy comes out at -0.47 eV per atom. The energy relative to the lowest polymorph listed for this composition comes out at 313.0 meV/atom. Its total magnetic moment is 0.00 μB/cell.



[17]
Here is a relaxed structure of SiIr4Cl from Alexandria via LeMat-Bulk. Energies are from PBE-GGA.

The structure belongs to space group F-43m (No. 216); the cell edges are 7.463, 7.463 and 7.463 Å and the angles 90.00°, 90.00° and 90.00°. The distinct sites, in fractional coordinates, are Si at (0.000, 0.000, 0.000), Ir at (0.125, 0.125, 0.375) and Cl at (0.250, 0.250, 0.750).

For the density of states at the Fermi level, the calculation gives 1.62 states/eV/atom. The uncorrected formation energy comes out at 1.03 eV per atom. Its total magnetic moment is 17.74 μB/cell.



[18]
Here is a relaxed structure of SiIrCl2 from Alexandria via LeMat-Bulk. Energies are from PBE-GGA.

The structure belongs to space group R3m (No. 160, hexagonal axes); the cell edges are 3.2478, 3.2478 and 26.2794 Å and the angles 90.00°, 90.00° and 120.00°. The distinct sites, in fractional coordinates, are Si at (0.0000, 0.0000, 0.0000), Ir at (0.0000, 0.0000, 0.7201), Cl at (0.0000, 0.0000, 0.2674) and Cl at (0.0000, 0.0000, 0.4601).

For the density of states at the Fermi level, the calculation gives 1.13 states/eV/atom. The uncorrected formation energy comes out at -0.23 eV per atom. The energy relative to the lowest polymorph listed for this composition comes out at 166.2 meV/atom. Its total magnetic moment is 0.00 μB/cell.



[19]
Here is a relaxed structure of SiIrCl2 from Alexandria via LeMat-Bulk. Energies are from PBE-GGA.

The structure belongs to space group I-42d (No. 122); the cell edges are 4.145, 4.145 and 16.831 Å and the angles 90.00°, 90.00° and 90.00°. The distinct sites, in fractional coordinates, are Si at (0.000, 0.000, 0.000), Ir at (0.000, 0.000, 0.500) and Cl at (0.237, 0.250, 0.625).

For the density of states at the Fermi level, the calculation gives 0.90 states/eV/atom. The uncorrected formation energy comes out at 0.62 eV per atom. The energy relative to the lowest polymorph listed for this composition comes out at 1017.7 meV/atom. Its total magnetic moment is 0.00 μB/cell.



[20]
Here is a relaxed structure of Si2IrCl from Alexandria via LeMat-Bulk. Energies are from PBE-GGA.

The structure belongs to space group Cmmm (No. 65); the cell edges are 6.656, 6.663 and 2.792 Å and the angles 90.00°, 90.00° and 90.00°. The distinct sites, in fractional coordinates, are Si at (0.250, 0.250, 0.000), Ir at (0.000, 0.000, 0.500) and Cl at (0.000, 0.500, 0.500).

For the density of states at the Fermi level, the calculation gives 0.43 states/eV/atom. The uncorrected formation energy comes out at 0.33 eV per atom. The energy relative to the lowest polymorph listed for this composition comes out at 695.0 meV/atom. Its total magnetic moment is 0.00 μB/cell.